Tb2AsN after structural relaxation, computed with PBE.

* energy above the lowest structure with this stoichiometry: 1.210 eV per formula unit
* formation energy (no corrections): -1.11 eV per atom
* size of the total moment: 0.0 μB/cell
* E: -26.66 eV per cell
* theoretical density: 8.45 g/cm³

Unit cell a=3.697 b=3.697 c=7.085 alpha=74.88 beta=74.88 gamma=60.00
Fractional positions:
1 As 0.667 0.667 0.999
2 Tb 0.242 0.242 0.274
3 Tb 0.094 0.094 0.718
4 N 0.497 0.497 0.509